Entry from Alexandria via LeMat-Bulk: crystalline Ac2NdGa4 at its relaxed geometry (GGA-PBE).

Cell: 4.307 4.533 19.747 Å, 90.00 90.00 90.00°
Fractional positions:
Ac 0.000 0.000 0.183
Ac 0.000 0.000 0.817
Ac 0.500 0.500 0.317
Ac 0.500 0.500 0.683
Nd 0.000 0.500 0.500
Nd 0.500 0.000 0.000
Ga 0.000 0.000 0.368
Ga 0.000 0.000 0.632
Ga 0.000 0.500 0.062
Ga 0.000 0.500 0.938
Ga 0.500 0.000 0.438
Ga 0.500 0.000 0.562
Ga 0.500 0.500 0.132
Ga 0.500 0.500 0.868

Computed properties:
* final energy: -58.201 eV/cell
* ΔH_f (0 K): -0.57 eV per atom
* DOS at the Fermi energy: 9.93 states/eV per cell
* total moment: 0.000 μB per formula unit
* crystal system: orthorhombic